Crystalline Si2Pd2Au at its relaxed geometry, computed with PBE.

Unit cell a=3.659 b=3.659 c=12.098 alpha=90.00 beta=90.00 gamma=90.00
Space group I4/mmm (No. 139)
Symmetry-distinct sites (fractional):
Si  0.000  0.500  0.250
Pd  0.000  0.000  0.117
Au  0.000  0.000  0.500

Formation energy without anion corrections, eV/f.u.: -1.2
Distance to the lowest polymorph of the same formula, meV per atom: 4.7


Crystalline TiCo2PI at its relaxed geometry, computed with PBE.

Unit cell a=4.095 b=4.095 c=5.716 alpha=90.00 beta=90.00 gamma=90.00
Space group P4/mmm (No. 123)
Symmetry-distinct sites (fractional):
Ti  0.000  0.000  0.000
Co  0.000  0.500  0.500
P  0.500  0.500  0.500
I  0.500  0.500  0.000

Formation energy without anion corrections, eV/f.u.: 3.2
Distance to the lowest polymorph of the same formula, meV per atom: 0.0


- What is the formation energy without anion corrections in the first record?
  -1.2 eV/f.u.


What did the second record say?
Crystalline TiCo2PI at its relaxed geometry, computed with PBE.

Unit cell a=4.095 b=4.095 c=5.716 alpha=90.00 beta=90.00 gamma=90.00
Space group P4/mmm (No. 123)
Symmetry-distinct sites (fractional):
Ti  0.000  0.000  0.000
Co  0.000  0.500  0.500
P  0.500  0.500  0.500
I  0.500  0.500  0.000

Formation energy without anion corrections, eV/f.u.: 3.2
Distance to the lowest polymorph of the same formula, meV per atom: 0.0


- Among the records above, which one has the lowest formation energy without anion corrections?
  Si2Pd2Au